## SnRh7 (PBE-GGA)

Data for an optimized crystal structure of SnRh7.

Summary:
Formation energy from the elements: -1.16 eV/f.u.
Spin magnetization: 0.0 Bohr magnetons per cell
ρ: 11.77 g cm⁻³
DFT total energy: -7.08 eV/atom

```
data_SnRh7
_chemical_formula_sum 'Sn4 Rh28'
_cell_length_a 7.794
_cell_length_b 7.794
_cell_length_c 7.794
_cell_angle_alpha 90.00
_cell_angle_beta 90.00
_cell_angle_gamma 90.00
_space_group_name_H-M_alt 'F m -3 m'
_space_group_IT_number 225
_space_group_name_Hall '-F 4 2 3'
loop_
_atom_site_label
_atom_site_type_symbol
_atom_site_fract_x
_atom_site_fract_y
_atom_site_fract_z
_atom_site_occupancy
Sn1 Sn 0.000 0.000 0.000 1
Rh1 Rh 0.000 0.000 0.500 1
Rh2 Rh 0.000 0.250 0.250 1
```